## Na2YHC2O7 (PBEsol)

Data for a relaxed Na2YHC2O7 crystal.

Calculated values
N(E_F) (states/eV/cell): 0.00
Final energy (eV per atom): -7.3138

Unit cell a=6.107 b=9.291 c=11.212 alpha=96.09 beta=90.00 gamma=109.19
Fractional coordinates of all 52 atoms:
1 Na 0.514 0.221 0.383
2 Na 0.293 0.779 0.117
3 Na 0.486 0.779 0.617
4 Na 0.707 0.221 0.883
5 Na 0.825 0.467 0.645
6 Na 0.359 0.533 0.855
7 Na 0.175 0.533 0.355
8 Na 0.641 0.467 0.145
9 Y 0.217 0.121 0.632
10 Y 0.096 0.879 0.868
11 Y 0.783 0.879 0.368
12 Y 0.904 0.121 0.132
13 H 0.045 0.801 0.616
14 H 0.245 0.199 0.884
15 H 0.955 0.199 0.384
16 H 0.755 0.801 0.116
17 C 0.768 0.131 0.617
18 C 0.637 0.869 0.883
19 C 0.232 0.869 0.383
20 C 0.363 0.131 0.117
21 C 0.718 0.586 0.424
22 C 0.132 0.414 0.076
23 C 0.282 0.414 0.576
24 C 0.868 0.586 0.924
25 O 0.819 0.013 0.567
26 O 0.806 0.987 0.933
27 O 0.181 0.987 0.433
28 O 0.194 0.013 0.067
29 O 0.308 0.218 0.201
30 O 0.090 0.782 0.299
31 O 0.692 0.782 0.799
32 O 0.910 0.218 0.701
33 O 0.993 0.604 0.828
34 O 0.388 0.396 0.672
35 O 0.007 0.396 0.172
36 O 0.612 0.604 0.328
37 O 0.589 0.160 0.584
38 O 0.428 0.840 0.916
39 O 0.411 0.840 0.416
40 O 0.572 0.160 0.084
41 O 0.758 0.463 0.437
42 O 0.295 0.537 0.063
43 O 0.242 0.537 0.563
44 O 0.705 0.463 0.937
45 O 0.211 0.294 0.494
46 O 0.917 0.706 0.006
47 O 0.789 0.706 0.506
48 O 0.083 0.294 0.994
49 O 0.166 0.875 0.671
50 O 0.291 0.125 0.829
51 O 0.834 0.125 0.329
52 O 0.709 0.875 0.171



## K2ErTiP3O12 (PBEsol)

Data for a relaxed K2ErTiP3O12 crystal.

Calculated values
E_form (uncorrected) (eV/atom): -2.69
N(E_F) (states/eV/cell): 0.00

Unit cell a=10.147 b=10.147 c=10.147 alpha=90.00 beta=90.00 gamma=90.00
Fractional coordinates of all 76 atoms:
1 K 0.050 0.550 0.950
2 K 0.177 0.823 0.323
3 K 0.323 0.177 0.823
4 K 0.450 0.450 0.450
5 K 0.550 0.950 0.050
6 K 0.677 0.677 0.677
7 K 0.823 0.323 0.177
8 K 0.950 0.050 0.550
9 Er 0.171 0.171 0.171
10 Er 0.329 0.829 0.671
11 Er 0.671 0.329 0.829
12 Er 0.829 0.671 0.329
13 Ti 0.108 0.392 0.608
14 Ti 0.392 0.608 0.108
15 Ti 0.608 0.108 0.392
16 Ti 0.892 0.892 0.892
17 P 0.004 0.700 0.634
18 P 0.134 0.496 0.300
19 P 0.200 0.866 0.996
20 P 0.300 0.134 0.496
21 P 0.366 0.504 0.800
22 P 0.496 0.300 0.134
23 P 0.504 0.800 0.366
24 P 0.634 0.004 0.700
25 P 0.700 0.634 0.004
26 P 0.800 0.366 0.504
27 P 0.866 0.996 0.200
28 P 0.996 0.200 0.866
29 O 0.025 0.596 0.274
30 O 0.012 0.550 0.666
31 O 0.047 0.267 0.738
32 O 0.096 0.226 0.975
33 O 0.050 0.834 0.988
34 O 0.099 0.361 0.242
35 O 0.139 0.758 0.599
36 O 0.166 0.488 0.450
37 O 0.233 0.262 0.547
38 O 0.226 0.975 0.096
39 O 0.262 0.547 0.233
40 O 0.242 0.099 0.361
41 O 0.258 0.901 0.861
42 O 0.238 0.453 0.733
43 O 0.274 0.025 0.596
44 O 0.267 0.738 0.047
45 O 0.334 0.512 0.950
46 O 0.361 0.242 0.099
47 O 0.401 0.639 0.742
48 O 0.450 0.166 0.488
49 O 0.404 0.774 0.475
50 O 0.453 0.733 0.238
51 O 0.488 0.450 0.166
52 O 0.475 0.404 0.774
53 O 0.525 0.904 0.726
54 O 0.512 0.950 0.334
55 O 0.547 0.233 0.262
56 O 0.596 0.274 0.025
57 O 0.550 0.666 0.012
58 O 0.599 0.139 0.758
59 O 0.639 0.742 0.401
60 O 0.666 0.012 0.550
61 O 0.733 0.238 0.453
62 O 0.726 0.525 0.904
63 O 0.762 0.953 0.767
64 O 0.742 0.401 0.639
65 O 0.758 0.599 0.139
66 O 0.738 0.047 0.267
67 O 0.774 0.475 0.404
68 O 0.767 0.762 0.953
69 O 0.834 0.988 0.050
70 O 0.861 0.258 0.901
71 O 0.901 0.861 0.258
72 O 0.950 0.334 0.512
73 O 0.904 0.726 0.525
74 O 0.953 0.767 0.762
75 O 0.988 0.050 0.834
76 O 0.975 0.096 0.226



## NaB10Pb4Cl2O19 (PBEsol)

Data for a relaxed NaB10Pb4Cl2O19 crystal.

Calculated values
E_form (uncorrected) (eV/atom): -2.10

Unit cell a=6.604 b=11.506 c=11.504 alpha=90.00 beta=90.00 gamma=90.26
Site moments in Bohr magnetons follow the coordinates.
Fractional coordinates of all 72 atoms:
1 Na 0.379 0.992 0.270  0.00
2 Na 0.879 0.492 0.730  0.00
3 B 0.194 0.765 0.241  0.00
4 B 0.193 0.247 0.258  0.00
5 B 0.693 0.747 0.742  0.00
6 B 0.694 0.265 0.759  0.00
7 B 0.305 0.835 0.042  0.00
8 B 0.295 0.174 0.456  0.00
9 B 0.795 0.674 0.544  0.00
10 B 0.805 0.335 0.958  0.00
11 B 0.979 0.725 0.067  0.00
12 B 0.968 0.283 0.428  0.00
13 B 0.468 0.783 0.572  0.00
14 B 0.479 0.225 0.933  0.00
15 B 0.158 0.295 0.038  0.00
16 B 0.147 0.717 0.460  0.00
17 B 0.647 0.217 0.540  0.00
18 B 0.658 0.795 0.962  0.00
19 B 0.531 0.002 0.990  0.00
20 B 0.512 0.010 0.520  0.00
21 B 0.012 0.510 0.480  0.00
22 B 0.031 0.502 0.010  0.00
23 Pb 0.181 0.248 0.709  0.00
24 Pb 0.184 0.741 0.789  0.00
25 Pb 0.684 0.241 0.211  0.00
26 Pb 0.681 0.748 0.291  0.00
27 Pb 0.503 0.539 0.025  0.01
28 Pb 0.446 0.467 0.513  -0.01
29 Pb 0.946 0.967 0.487  -0.01
30 Pb 0.003 0.039 0.975  0.01
31 Cl 0.605 0.471 0.257  0.01
32 Cl 0.105 0.971 0.743  0.01
33 Cl 0.970 0.020 0.218  0.19
34 Cl 0.470 0.520 0.782  0.19
35 O 0.938 0.269 0.035  0.00
36 O 0.927 0.743 0.467  0.00
37 O 0.427 0.243 0.533  0.00
38 O 0.438 0.769 0.965  0.00
39 O 0.016 0.723 0.196  0.00
40 O 0.008 0.283 0.298  0.01
41 O 0.508 0.783 0.702  0.01
42 O 0.516 0.223 0.804  0.00
43 O 0.705 0.942 0.331  0.57
44 O 0.205 0.442 0.669  0.57
45 O 0.343 0.807 0.167  0.00
46 O 0.336 0.200 0.332  0.00
47 O 0.836 0.700 0.668  0.00
48 O 0.843 0.307 0.833  0.00
49 O 0.092 0.821 0.012  0.00
50 O 0.083 0.190 0.485  0.00
51 O 0.583 0.690 0.515  0.00
52 O 0.592 0.321 0.988  0.00
53 O 0.346 0.963 0.030  0.00
54 O 0.335 0.048 0.472  0.00
55 O 0.835 0.548 0.528  0.00
56 O 0.846 0.463 0.970  0.00
57 O 0.575 0.117 0.980  0.00
58 O 0.556 0.895 0.533  0.05
59 O 0.056 0.395 0.467  0.05
60 O 0.075 0.617 0.020  0.00
61 O 0.185 0.424 0.030  0.00
62 O 0.165 0.588 0.450  0.00
63 O 0.665 0.088 0.550  0.00
64 O 0.685 0.924 0.970  0.00
65 O 0.761 0.734 0.057  0.00
66 O 0.751 0.265 0.438  0.00
67 O 0.251 0.765 0.562  0.00
68 O 0.261 0.234 0.943  0.00
69 O 0.253 0.254 0.145  0.01
70 O 0.237 0.772 0.356  0.00
71 O 0.737 0.272 0.644  0.00
72 O 0.753 0.754 0.855  0.01